Density functional theory data (GGA+U) for crystalline SrNpNiO6 at its relaxed geometry.

a = 5.2989 Å, b = 5.2989 Å, c = 10.9783 Å
α = 90.00°, β = 90.00°, γ = 120.00°
With the nearest neighbours (Å) after each atom.
Fractional positions:
Sr1 0.0000 0.0000 0.0000  6 O 2.54
Sr2 0.0000 0.0000 0.5000  6 O 2.54
Np1 0.3333 0.6667 0.2500  6 O 2.02
Np2 0.6667 0.3333 0.7500  6 O 2.02
Ni1 0.3333 0.6667 0.7500  6 O 2.03
Ni2 0.6667 0.3333 0.2500  6 O 2.03
O1 0.0017 0.3691 0.1478  1 Np 2.02, 1 Ni 2.03
O2 0.0017 0.6326 0.3522  1 Np 2.02, 1 Ni 2.03
O3 0.3674 0.3691 0.3522  1 Np 2.02, 1 Ni 2.03
O4 0.3674 0.9983 0.1478  1 Np 2.02, 1 Ni 2.03
O5 0.3691 0.0017 0.6478  1 Np 2.02, 1 Ni 2.03
O6 0.3691 0.3674 0.8522  1 Np 2.02, 1 Ni 2.03
O7 0.6309 0.6326 0.1478  1 Np 2.02, 1 Ni 2.03
O8 0.6309 0.9983 0.3522  1 Np 2.02, 1 Ni 2.03
O9 0.6326 0.0017 0.8522  1 Np 2.02, 1 Ni 2.03
O10 0.6326 0.6309 0.6478  1 Np 2.02, 1 Ni 2.03
O11 0.9983 0.3674 0.6478  1 Np 2.02, 1 Ni 2.03
O12 0.9983 0.6309 0.8522  1 Np 2.02, 1 Ni 2.03

Summary:
symmetry	P-31c
VASP energy	-7.3721	eV per atom